{
  "formula": "Si3PH9",
  "functional": "GGA-PBEsol",
  "state": "relaxed",
  "final_energy_ry_per_atom": -0.2957,
  "m_tot_mub_per_fu": 0.00,
  "cell": [[5.624, 0.048, 0.000], [-0.560, 8.935, 0.000], [0.000, 0.000, 12.007]],
  "species": ["H", "H", "H", "H", "H", "H", "H", "H", "H", "H", "H", "H", "H", "H", "H", "H", "H", "H", "H", "H", "H", "H", "H", "H", "H", "H", "H", "H", "H", "H", "H", "H", "H", "H", "H", "H", "P", "P", "P", "P", "Si", "Si", "Si", "Si", "Si", "Si", "Si", "Si", "Si", "Si", "Si", "Si"],
  "frac_coords": [[0.130, 0.422, 0.448], [0.870, 0.078, 0.948], [0.870, 0.578, 0.552], [0.130, 0.922, 0.052], [0.259, 0.193, 0.361], [0.741, 0.307, 0.861], [0.741, 0.807, 0.639], [0.259, 0.693, 0.139], [0.555, 0.374, 0.439], [0.445, 0.126, 0.939], [0.445, 0.626, 0.561], [0.555, 0.874, 0.061], [0.137, 0.497, 0.677], [0.863, 0.003, 0.177], [0.863, 0.503, 0.323], [0.137, 0.997, 0.823], [0.547, 0.444, 0.731], [0.453, 0.056, 0.231], [0.453, 0.556, 0.269], [0.547, 0.944, 0.769], [0.205, 0.331, 0.835], [0.795, 0.169, 0.335], [0.795, 0.669, 0.165], [0.205, 0.831, 0.665], [0.793, 0.312, 0.607], [0.207, 0.188, 0.107], [0.207, 0.688, 0.393], [0.793, 0.812, 0.893], [0.810, 0.084, 0.720], [0.190, 0.416, 0.220], [0.190, 0.916, 0.280], [0.810, 0.584, 0.780], [0.802, 0.067, 0.515], [0.198, 0.433, 0.015], [0.198, 0.933, 0.485], [0.802, 0.567, 0.985], [0.289, 0.178, 0.614], [0.711, 0.322, 0.114], [0.711, 0.822, 0.386], [0.289, 0.678, 0.886], [0.308, 0.303, 0.453], [0.692, 0.197, 0.953], [0.692, 0.697, 0.547], [0.308, 0.803, 0.047], [0.295, 0.383, 0.724], [0.705, 0.117, 0.224], [0.705, 0.617, 0.276], [0.295, 0.883, 0.776], [0.888, 0.159, 0.614], [0.112, 0.341, 0.114], [0.112, 0.841, 0.386], [0.888, 0.659, 0.886]]
}

=====

{
  "formula": "Ni2OsRh",
  "functional": "GGA-PBEsol",
  "state": "relaxed",
  "final_energy_ry_per_atom": -0.5920,
  "e_form_mev_per_atom": 113,
  "m_tot_mub_per_fu": 0.00,
  "cell": [[2.621, 0.000, 0.000], [1.310, 2.270, 0.000], [1.310, 0.757, 8.258]],
  "species": ["Ni", "Ni", "Os", "Rh"],
  "frac_coords": [[0.249, 0.249, 0.252], [0.751, 0.751, 0.748], [0.500, 0.500, 0.500], [0.000, 0.000, 0.000]]
}

=====

{
  "formula": "Mn4SiAu",
  "functional": "GGA-PBEsol",
  "state": "relaxed",
  "final_energy_ry_per_atom": -0.5739,
  "raw_formation_energy_kj_per_mol_atoms": 30,
  "m_tot_mub_per_fu": 2.32,
  "cell": [[4.661, 0.000, 0.000], [2.330, 4.036, 0.000], [2.330, 1.345, 3.806]],
  "species": ["Au", "Mn", "Mn", "Mn", "Mn", "Si"],
  "frac_coords": [[0.000, 0.000, 0.000], [0.375, 0.375, 0.375], [0.375, 0.375, 0.875], [0.875, 0.375, 0.375], [0.375, 0.875, 0.375], [0.750, 0.750, 0.750]]
}

=====

{
  "formula": "TaNbH",
  "functional": "GGA-PBEsol",
  "state": "relaxed",
  "final_energy_ry_per_atom": -0.6670,
  "m_tot_mub_per_fu": 0.00,
  "cell": [[2.918, -0.006, 0.000], [-0.981, 2.750, 0.000], [0.000, 0.000, 4.758]],
  "species": ["H", "Nb", "Ta"],
  "frac_coords": [[0.500, 0.000, 0.197], [0.500, 0.500, 0.930], [0.000, 0.000, 0.460]]
}

=====

{
  "formula": "ReRuAu2",
  "functional": "GGA-PBEsol",
  "state": "relaxed",
  "final_energy_ry_per_atom": -0.5417,
  "e_form_mev_per_atom": 468,
  "m_tot_mub_per_fu": 0.00,
  "cell": [[2.780, 0.000, 0.000], [0.000, 4.765, 0.005], [0.000, -1.581, 4.598]],
  "species": ["Au", "Au", "Re", "Ru"],
  "frac_coords": [[0.000, 0.000, 0.000], [0.500, 0.500, 0.000], [0.500, 0.000, 0.500], [0.000, 0.500, 0.500]]
}

=====

{
  "formula": "Zr3CuPt",
  "functional": "GGA-PBEsol",
  "state": "relaxed",
  "final_energy_ry_per_atom": -0.5327,
  "e_form_mev_per_atom": 466,
  "m_tot_mub_per_fu": 0.00,
  "cell": [[4.742, 0.000, 0.000], [0.000, 4.742, 0.000], [0.000, 0.000, 4.742]],
  "species": ["Cu", "Zr", "Zr", "Zr", "Pt"],
  "frac_coords": [[0.000, 0.000, 0.000], [0.000, 0.500, 0.000], [0.000, 0.000, 0.500], [0.500, 0.000, 0.000], [0.500, 0.500, 0.500]]
}

=====

{
  "formula": "IrBr2Cl",
  "functional": "GGA-PBEsol",
  "state": "relaxed",
  "final_energy_ry_per_atom": -0.2695,
  "raw_formation_energy_kj_per_mol_atoms": 22,
  "m_tot_mub_per_fu": 0.00,
  "cell": [[-0.417, 2.988, 1.071], [-4.873, -0.422, -0.721], [2.017, -3.341, 5.320]],
  "species": ["Ir", "Br", "Br", "Cl"],
  "frac_coords": [[0.754, 0.254, 0.507], [0.090, 0.090, 0.181], [0.254, 0.754, 0.508], [0.402, 0.402, 0.804]]
}

=====

{
  "formula": "MgCd2HgP",
  "functional": "GGA-PBEsol",
  "state": "relaxed",
  "final_energy_ry_per_atom": -0.1179,
  "e_form_mev_per_atom": 490,
  "m_tot_mub_per_fu": 0.00,
  "cell": [[-1.729, -0.378, -4.307], [1.334, -5.328, -0.067], [-4.922, -1.259, 2.087]],
  "species": ["P", "Mg", "Hg", "Cd", "Cd"],
  "frac_coords": [[0.500, 0.000, 0.000], [0.000, 0.000, 0.000], [0.500, 0.500, 0.500], [0.000, 0.000, 0.500], [0.000, 0.500, 0.000]]
}

=====

{
  "formula": "In3Te",
  "functional": "GGA-PBEsol",
  "state": "relaxed",
  "final_energy_ry_per_atom": -0.2365,
  "raw_formation_energy_kj_per_mol_atoms": -10,
  "m_tot_mub_per_fu": 0.00,
  "cell": [[-2.553, 0.486, 3.155], [-3.608, -1.922, 0.025], [1.216, -6.569, 4.644]],
  "species": ["Te", "In", "In", "In"],
  "frac_coords": [[0.000, 0.000, 0.000], [0.749, 0.749, 0.752], [0.500, 0.500, 0.500], [0.251, 0.251, 0.248]]
}

=====

{
  "formula": "Li2ZrPb",
  "functional": "GGA-PBEsol",
  "state": "relaxed",
  "final_energy_ry_per_atom": -0.3229,
  "e_form_mev_per_atom": -138,
  "m_tot_mub_per_fu": 0.00,
  "cell": [[-0.849, 0.229, 4.070], [3.988, -0.815, 0.878], [0.943, 4.551, -0.059]],
  "species": ["Li", "Li", "Pb", "Zr"],
  "frac_coords": [[0.000, 0.500, 0.000], [0.500, 0.000, 0.000], [0.500, 0.500, 0.500], [0.000, 0.000, 0.500]]
}

=====

{
  "formula": "BaPAu",
  "functional": "GGA-PBEsol",
  "state": "relaxed",
  "final_energy_ry_per_atom": -0.3559,
  "e_form_mev_per_atom": -887,
  "m_tot_mub_per_fu": 0.00,
  "cell": [[-4.202, -0.674, 0.918], [3.073, -1.276, 2.807], [-0.200, 4.066, 2.068]],
  "species": ["P", "Au", "Ba"],
  "frac_coords": [[0.667, 0.333, 0.500], [0.000, 0.000, 0.500], [0.333, 0.667, 0.000]]
}

=====

{
  "formula": "Mg2CdAg",
  "functional": "GGA-PBEsol",
  "state": "relaxed",
  "final_energy_ry_per_atom": -0.1549,
  "e_form_mev_per_atom": -122,
  "m_tot_mub_per_fu": 0.00,
  "cell": [[3.622, 0.000, 0.000], [0.000, 3.340, 0.000], [0.000, 0.000, 6.393]],
  "species": ["Mg", "Mg", "Ag", "Cd"],
  "frac_coords": [[0.000, 0.000, 0.990], [0.500, 0.500, 0.276], [0.000, 0.000, 0.492], [0.500, 0.500, 0.741]]
}